## LaRe2Se (PBE)

Data for a geometry-optimized LaRe2Se structure.

Summary:
* total magnetic moment: 0.000 μB per formula unit
* ΔE_f (raw): 0.912 eV per atom

abc: 3.208 5.168 9.042
angles: 90.00 90.00 90.00
Space group Cmmm (No. 65)
Asymmetric unit:
La 0.000 0.000 0.000 (multiplicity 2)
Re 0.000 0.500 0.282 (multiplicity 4)
Se 0.000 0.000 0.500 (multiplicity 2)